CrCo2 at its PBEsol-relaxed geometry. Source: the Alexandria database, functional meta-GGA SCAN.

Geometry as POSCAR:
```
CrCo2
1.0
-1.2191 1.2191 5.1593
1.2191 -1.2191 5.1593
1.2191 1.2191 -5.1593
Cr Co
1 2
Direct
0.0000 0.0000 0.0000 Cr
0.3336 0.3336 0.0000 Co
0.6664 0.6664 0.0000 Co
```

Output
total magnetic moment: 2.71 μB/cell
ΔE_f: 192 meV/atom
ρ: 9.2 g cm⁻³
DOS(E_F): 2.44 states/eV/f.u.
SG: I4/mmm, No. 139